Entry 1:
Material: Cd2GaS2
Method: DFT, GGA-PBE
State: relaxed

Output
N(E_F) = 0.253 states/eV/atom
Energy above the lowest structure with this stoichiometry = 26.9 meV/atom
Formation energy from raw total energies = -0.0744 eV/atom
VASP energy = -2.6968 eV per atom
Mass density = 5.7 g/cm3

Cell lengths 7.6340, 7.6340, 3.6073 Å; angles 90.00, 90.00, 90.00 degrees
With the nearest neighbours (Å) after each atom.
Space group P4/mbm (No. 127)
Inequivalent atoms, fractional coordinates:
Cd  0.1368  0.3632  0.0000  6 S 2.76-2.96, 1 Cd 2.95, 2 Ga 2.96
Ga  0.0000  0.0000  0.0000  4 Cd 2.96
S  0.1696  0.6696  0.5000  6 Cd 2.76-2.96

---

Entry 2:
Material: CdGaS
Method: DFT, GGA-PBE
State: relaxed

Output
N(E_F) = 0.327 states/eV/atom
Formation energy from raw total energies = -0.2253 eV/atom
VASP energy = -2.9151 eV per atom
Mass density = 4.8 g/cm3

Cell lengths 4.4413, 4.4413, 26.0526 Å; angles 90.00, 90.00, 120.00 degrees
With the nearest neighbours (Å) after each atom.
Space group R-3m (No. 166, hexagonal axes)
Inequivalent atoms, fractional coordinates:
Cd  0.0000  0.0000  0.1109  3 S 2.57
Ga  0.0000  0.0000  0.3275  3 Ga 2.58, 1 S 2.63
S  0.0000  0.0000  0.2265  3 Cd 2.57, 1 Ga 2.63

---

Entry 3:
Material: CdGa6S8
Method: DFT, GGA-PBE
State: relaxed

Output
N(E_F) = 0.562 states/eV/atom
Formation energy from raw total energies = -0.3701 eV/atom
VASP energy = -3.8432 eV per atom
Mass density = 4.0 g/cm3

Cell lengths 10.2818, 10.2818, 10.7722 Å; angles 90.00, 90.00, 120.00 degrees
With the nearest neighbours (Å) after each atom.
Space group R-3 (No. 148, hexagonal axes)
Inequivalent atoms, fractional coordinates:
Cd  0.0000  0.0000  0.0000  6 S 3.17
Ga  0.0607  0.2547  0.6238  4 S 2.36-2.43
S  0.0000  0.0000  0.3317  3 Ga 2.42
S  0.0266  0.2916  0.1254  3 Ga 2.36-2.43

---

Entry 4:
Material: Cd3GaS4
Method: DFT, GGA-PBE
State: relaxed

Output
N(E_F) = 0.328 states/eV/atom
Formation energy from raw total energies = -0.5340 eV/atom
VASP energy = -3.3193 eV per atom
Mass density = 4.3 g/cm3

Cell lengths 5.9137, 5.9137, 11.7460 Å; angles 90.00, 90.00, 90.00 degrees
With the nearest neighbours (Å) after each atom.
Space group I-42m (No. 121)
Inequivalent atoms, fractional coordinates:
Cd  0.0000  0.0000  0.0000  4 S 2.59
Cd  0.0000  0.5000  0.2500  4 S 2.59
Ga  0.0000  0.0000  0.5000  4 S 2.45
S  0.2393  0.2393  0.3802  1 Ga 2.45, 3 Cd 2.59

---

Entry 5:
Material: CdGaS2
Method: DFT, GGA-PBE
State: relaxed

Output
N(E_F) = 0.656 states/eV/atom
Formation energy from raw total energies = -0.1299 eV/atom
VASP energy = -3.1791 eV per atom
Mass density = 4.0 g/cm3

Cell lengths 4.0430, 4.0430, 21.6756 Å; angles 90.00, 90.00, 120.00 degrees
With the nearest neighbours (Å) after each atom.
Space group R-3m (No. 166, hexagonal axes)
Inequivalent atoms, fractional coordinates:
Cd  0.0000  0.0000  0.0000  6 S 2.72
Ga  0.0000  0.0000  0.5000  2 S 2.22
S  0.0000  0.0000  0.3975  1 Ga 2.22

---

Entry 6:
Material: Cd2GaSeS
Method: DFT, GGA-PBE
State: relaxed

Output
N(E_F) = 0.659 states/eV/atom
Formation energy from raw total energies = 0.3127 eV/atom
VASP energy = -2.1811 eV per atom
Mass density = 5.2 g/cm3

Cell lengths 5.4135, 5.4135, 4.4338 Å; angles 90.00, 90.00, 90.00 degrees
With the nearest neighbours (Å) after each atom.
Space group P4/mmm (No. 123)
Inequivalent atoms, fractional coordinates:
Cd  0.0000  0.5000  0.0000  2 Ga 2.71
Ga  0.0000  0.0000  0.0000  2 S 2.22
Se  0.5000  0.5000  0.5000  8 Cd 3.50, 4 S 3.83
S  0.0000  0.0000  0.5000  2 Ga 2.22